Record 1
Compound: KWSeBr2
Source: Alexandria
Functional: GGA-PBE
Structure: optimized geometry Values from VASP.

Computed properties:
N(E_F)	0.4761	states/eV per atom
excess energy over the best structure of this formula in the dataset	0.00	eV/f.u.
theoretical density	5.4	g/cm3
spin magnetization	0.34	μB per atom
space group	P4/mmm (123)
raw formation energy	-0.3722	eV per atom

The structure in Quantum ESPRESSO input format:
```
&SYSTEM
  ibrav = 0, nat = 5, ntyp = 4
/
ATOMIC_SPECIES
W 183.84 W.upf
Br 79.90 Br.upf
Se 78.96 Se.upf
K 39.10 K.upf
ATOMIC_POSITIONS crystal
W 0.000 0.000 0.000
Br 0.000 0.500 0.000
Br 0.500 0.000 0.000
Se 0.000 0.000 0.500
K 0.500 0.500 0.500
CELL_PARAMETERS angstrom
-1.600 -3.631 -3.702
5.091 -0.367 -1.840
0.880 -3.601 3.152
```

=====

Record 2
Compound: CaSmCdAg
Source: Alexandria
Functional: GGA-PBE
Structure: optimized geometry Values from VASP.

Computed properties:
N(E_F)	0.8427	states/eV per atom
excess energy over the best structure of this formula in the dataset	0.02	eV/f.u.
energy of formation from the pure elements	-1.240	eV per formula unit
theoretical density	6.4	g/cm3
spin magnetization	0.00	μB per atom
space group	F-43m (216)

The structure in Quantum ESPRESSO input format:
```
&SYSTEM
  ibrav = 0, nat = 4, ntyp = 4
/
ATOMIC_SPECIES
Cd 112.41 Cd.upf
Ag 107.87 Ag.upf
Ca 40.08 Ca.upf
Sm 150.36 Sm.upf
ATOMIC_POSITIONS crystal
Cd 0.750 0.750 0.750
Ag 0.250 0.250 0.250
Ca 0.500 0.500 0.500
Sm 0.000 0.000 0.000
CELL_PARAMETERS angstrom
-4.153 1.082 -3.133
0.405 -0.630 -5.261
-2.610 -3.951 -2.411
```

=====

Record 3
Compound: BaTlRh
Source: Alexandria
Functional: GGA-PBE
Structure: optimized geometry Values from VASP.

Computed properties:
N(E_F)	0.4100	states/eV per atom
energy of formation from the pure elements	-0.379	eV per formula unit
theoretical density	8.1	g/cm3
spin magnetization	0.00	μB per atom
space group	F-43m (216)

The structure in Quantum ESPRESSO input format:
```
&SYSTEM
  ibrav = 0, nat = 3, ntyp = 3
/
ATOMIC_SPECIES
Rh 102.91 Rh.upf
Tl 204.38 Tl.upf
Ba 137.33 Ba.upf
ATOMIC_POSITIONS crystal
Rh 0.250 0.250 0.250
Tl 0.000 0.000 0.000
Ba 0.500 0.500 0.500
CELL_PARAMETERS angstrom
0.000 3.567 3.567
3.567 0.000 3.567
3.567 3.567 0.000
```

=====

Record 4
Compound: NdInSnCl6
Source: Alexandria
Functional: GGA-PBE
Structure: optimized geometry Values from VASP.

Computed properties:
N(E_F)	0.0000	states/eV per atom
theoretical density	3.1	g/cm3
spin magnetization	0.00	μB per atom
space group	P-31c (163)
raw formation energy	-1.5356	eV per atom

The structure in Quantum ESPRESSO input format:
```
&SYSTEM
  ibrav = 0, nat = 18, ntyp = 4
/
ATOMIC_SPECIES
In 114.82 In.upf
Cl 35.45 Cl.upf
Sn 118.71 Sn.upf
Nd 144.24 Nd.upf
ATOMIC_POSITIONS crystal
In 0.000 0.000 0.500
Cl 0.370 0.011 0.136
Cl 0.011 0.370 0.636
Sn 0.667 0.333 0.750
Cl 0.989 0.359 0.136
Sn 0.333 0.667 0.250
Nd 0.333 0.667 0.750
Cl 0.630 0.989 0.864
Cl 0.359 0.989 0.636
Cl 0.370 0.359 0.364
Cl 0.011 0.641 0.864
Cl 0.359 0.370 0.864
In 0.000 0.000 0.000
Cl 0.641 0.630 0.136
Nd 0.667 0.333 0.250
Cl 0.630 0.641 0.636
Cl 0.641 0.011 0.364
Cl 0.989 0.630 0.364
CELL_PARAMETERS angstrom
7.377 0.000 0.000
-3.688 6.389 0.000
0.000 0.000 13.491
```

=====

Repeat the fourth record exactly.
Compound: NdInSnCl6
Source: Alexandria
Functional: GGA-PBE
Structure: optimized geometry Values from VASP.

Computed properties:
N(E_F)	0.0000	states/eV per atom
theoretical density	3.1	g/cm3
spin magnetization	0.00	μB per atom
space group	P-31c (163)
raw formation energy	-1.5356	eV per atom

The structure in Quantum ESPRESSO input format:
```
&SYSTEM
  ibrav = 0, nat = 18, ntyp = 4
/
ATOMIC_SPECIES
In 114.82 In.upf
Cl 35.45 Cl.upf
Sn 118.71 Sn.upf
Nd 144.24 Nd.upf
ATOMIC_POSITIONS crystal
In 0.000 0.000 0.500
Cl 0.370 0.011 0.136
Cl 0.011 0.370 0.636
Sn 0.667 0.333 0.750
Cl 0.989 0.359 0.136
Sn 0.333 0.667 0.250
Nd 0.333 0.667 0.750
Cl 0.630 0.989 0.864
Cl 0.359 0.989 0.636
Cl 0.370 0.359 0.364
Cl 0.011 0.641 0.864
Cl 0.359 0.370 0.864
In 0.000 0.000 0.000
Cl 0.641 0.630 0.136
Nd 0.667 0.333 0.250
Cl 0.630 0.641 0.636
Cl 0.641 0.011 0.364
Cl 0.989 0.630 0.364
CELL_PARAMETERS angstrom
7.377 0.000 0.000
-3.688 6.389 0.000
0.000 0.000 13.491
```